# 1
The following is a DFT calculation (PBE) of an optimized crystal structure of HfCdIr.

abc: 4.510 4.510 4.510
angles: 60.00 60.00 60.00
Sites, in units of the cell vectors:
Ir: 0.750 0.750 0.750
Cd: 0.250 0.250 0.250
Hf: 0.000 0.000 0.000

Computed properties:
Space-group type: F-43m (216)
Calculated density (Mg/m³): 12.4
Total magnetization (μB per formula unit): 0.002



# 2
The following is a DFT calculation (PBE) of an optimized crystal structure of MgAgTeO.

abc: 4.493 4.493 7.900
angles: 90.00 90.00 90.00
Sites, in units of the cell vectors:
Mg: 0.250 0.750 0.000
Te: 0.250 0.250 0.279
O: 0.750 0.750 0.483
Mg: 0.750 0.250 0.000
Te: 0.750 0.750 0.721
Ag: 0.250 0.250 0.790
Ag: 0.750 0.750 0.210
O: 0.250 0.250 0.517

Computed properties:
Space-group type: P4/nmm (129)
Calculated density (Mg/m³): 5.7



# 3
The following is a DFT calculation (PBE) of an optimized crystal structure of SrB4W.

abc: 4.857 4.857 4.857
angles: 142.16 110.01 82.42
Sites, in units of the cell vectors:
Sr: 0.000 0.000 0.000
W: 0.500 0.500 0.000
B: 0.100 0.759 0.341
B: 0.900 0.241 0.659
B: 0.582 0.241 0.341
B: 0.418 0.759 0.659

Computed properties:
Space-group type: Immm (71)
Calculated density (Mg/m³): 8.1
Total magnetization (μB per formula unit): 0.000



# 4
The following is a DFT calculation (PBE) of an optimized crystal structure of Tl2CdCuBr6.

abc: 7.525 7.525 7.525
angles: 60.00 60.00 60.00
Sites, in units of the cell vectors:
Br: 0.758 0.758 0.242
Cu: 0.000 0.000 0.000
Br: 0.242 0.758 0.758
Br: 0.242 0.758 0.242
Br: 0.758 0.242 0.242
Tl: 0.750 0.750 0.750
Br: 0.758 0.242 0.758
Br: 0.242 0.242 0.758
Cd: 0.500 0.500 0.500
Tl: 0.250 0.250 0.250

Computed properties:
Space-group type: Fm-3m (225)
Calculated density (Mg/m³): 5.9



# 5
The following is a DFT calculation (PBE) of an optimized crystal structure of Ho2Sc2CI5.

abc: 10.183 10.183 8.310
angles: 101.56 101.56 22.01
Sites, in units of the cell vectors:
Ho: 0.619 0.619 0.058
I: 0.847 0.847 0.190
I: 0.153 0.153 0.810
Sc: 0.000 0.000 0.179
C: 0.500 0.500 0.000
I: 0.152 0.152 0.339
I: 0.848 0.848 0.661
Sc: 0.000 0.000 0.821
I: 0.500 0.500 0.500
Ho: 0.381 0.381 0.942

Computed properties:
Space-group type: C2/m (12)
Calculated density (Mg/m³): 5.6
Total magnetization (μB per formula unit): 0.130



# 6
The following is a DFT calculation (PBE) of an optimized crystal structure of BaTbGe2.

abc: 3.394 6.738 6.738
angles: 55.21 90.00 90.00
Sites, in units of the cell vectors:
Ge: 0.500 0.406 0.406
Tb: 0.500 0.845 0.845
Ge: 0.500 0.612 0.612
Ba: 0.500 0.137 0.137

Computed properties:
Space-group type: Amm2 (38)
Calculated density (Mg/m³): 5.8
Total magnetization (μB per formula unit): 0.006



# 7
The following is a DFT calculation (PBE) of an optimized crystal structure of Gd2SbS.

abc: 4.219 4.219 5.963
angles: 90.00 90.00 90.00
Sites, in units of the cell vectors:
Gd: 0.000 0.000 0.000
Gd: 0.500 0.500 0.500
Sb: 0.500 0.500 0.000
S: 0.000 0.000 0.500

Computed properties:
Space-group type: P4/mmm (123)
Calculated density (Mg/m³): 7.3
Total magnetization (μB per formula unit): 0.007



# 8
The following is a DFT calculation (PBE) of an optimized crystal structure of InPAuO.

abc: 3.514 6.798 6.728
angles: 90.00 90.00 90.00
Sites, in units of the cell vectors:
P: 0.000 0.339 0.356
P: 0.000 0.661 0.856
Au: 0.500 0.783 0.046
O: 0.500 0.847 0.378
O: 0.500 0.153 0.878
In: 0.000 0.701 0.474
Au: 0.500 0.217 0.546
In: 0.000 0.299 0.974

Computed properties:
Space-group type: Pmc2_1 (26)
Calculated density (Mg/m³): 7.4



# 9
The following is a DFT calculation (PBE) of an optimized crystal structure of RbPtAuSe3.

abc: 8.226 8.226 10.554
angles: 90.00 90.00 26.73
Sites, in units of the cell vectors:
Se: 0.958 0.958 0.250
Au: 0.601 0.601 0.250
Se: 0.603 0.603 0.018
Pt: 0.000 0.000 0.500
Au: 0.399 0.399 0.750
Rb: 0.275 0.275 0.250
Pt: 0.000 0.000 0.000
Rb: 0.725 0.725 0.750
Se: 0.042 0.042 0.750
Se: 0.397 0.397 0.982
Se: 0.603 0.603 0.482
Se: 0.397 0.397 0.518

Computed properties:
Space-group type: Cmcm (63)
Calculated density (Mg/m³): 7.4
Total magnetization (μB per formula unit): 0.012



# 10
The following is a DFT calculation (PBE) of an optimized crystal structure of Be2IrPt.

abc: 5.634 3.987 7.971
angles: 90.00 90.00 90.00
Sites, in units of the cell vectors:
Ir: 0.250 0.750 0.875
Be: 0.000 0.250 0.875
Pt: 0.250 0.250 0.125
Be: 0.500 0.750 0.125
Pt: 0.750 0.750 0.375
Be: 0.500 0.750 0.625
Be: 0.000 0.750 0.125
Pt: 0.250 0.250 0.625
Pt: 0.750 0.750 0.875
Ir: 0.250 0.750 0.375
Be: 0.000 0.750 0.625
Be: 0.500 0.250 0.875
Ir: 0.750 0.250 0.125
Be: 0.500 0.250 0.375
Ir: 0.750 0.250 0.625
Be: 0.000 0.250 0.375

Computed properties:
Space-group type: Fm-3m (225)
Calculated density (Mg/m³): 15.0
Total magnetization (μB per formula unit): 0.000



# 11
The following is a DFT calculation (PBE) of an optimized crystal structure of CsCuPtSe3.

abc: 3.900 10.572 15.232
angles: 90.00 90.00 90.00
Sites, in units of the cell vectors:
Se: 0.250 0.537 0.642
Cs: 0.750 0.754 0.496
Cs: 0.750 0.254 0.004
Se: 0.750 0.036 0.352
Cu: 0.750 0.752 0.202
Pt: 0.250 0.999 0.247
Cu: 0.250 0.748 0.702
Cs: 0.250 0.246 0.504
Pt: 0.750 0.001 0.753
Cu: 0.750 0.252 0.298
Se: 0.750 0.963 0.142
Se: 0.250 0.747 0.295
Cs: 0.250 0.746 0.996
Se: 0.250 0.037 0.858
Se: 0.750 0.753 0.795
Se: 0.750 0.536 0.148
Se: 0.750 0.463 0.358
Se: 0.250 0.964 0.648
Se: 0.250 0.464 0.852
Se: 0.250 0.247 0.205
Cu: 0.250 0.248 0.798
Pt: 0.750 0.501 0.747
Pt: 0.250 0.499 0.253
Se: 0.750 0.253 0.705

Computed properties:
Space-group type: Pnma (62)
Calculated density (Mg/m³): 6.6
Total magnetization (μB per formula unit): 0.014



# 12
The following is a DFT calculation (PBE) of an optimized crystal structure of ZrAg2WS6.

abc: 6.851 6.851 6.851
angles: 120.00 90.00 120.00
Sites, in units of the cell vectors:
S: 0.243 0.000 0.243
S: 0.757 0.515 0.757
S: 0.757 0.000 0.243
S: 0.243 0.485 0.243
S: 0.243 0.000 0.757
S: 0.757 0.000 0.757
Zr: 0.500 0.000 0.500
Ag: 0.250 0.500 0.750
W: 0.000 0.000 0.000
Ag: 0.750 0.500 0.250

Computed properties:
Space-group type: Fm-3m (225)
Calculated density (Mg/m³): 5.0
Total magnetization (μB per formula unit): 0.001



# 13
The following is a DFT calculation (PBE) of an optimized crystal structure of Co2TcB.

abc: 3.885 3.885 3.885
angles: 60.00 60.00 60.00
Site moments in Bohr magnetons follow the coordinates.
Sites, in units of the cell vectors:
Co: 0.750 0.750 0.750  -0.07
Co: 0.000 0.000 0.000  0.03
B: 0.500 0.500 0.500  0.01
Tc: 0.250 0.250 0.250  0.01

Computed properties:
Space-group type: F-43m (216)
Calculated density (Mg/m³): 9.1
Total magnetization (μB per formula unit): 0.021



# 14
The following is a DFT calculation (PBE) of an optimized crystal structure of LaNdP2Ir2N2.

abc: 4.032 4.032 8.778
angles: 90.00 90.00 90.00
Site moments in Bohr magnetons follow the coordinates.
Sites, in units of the cell vectors:
La: 0.000 0.000 0.133  0.05
N: 0.500 0.000 0.996  0.31
P: 0.500 0.500 0.358  0.00
N: 0.000 0.500 0.996  0.29
Ir: 0.000 0.500 0.503  0.00
Nd: 0.500 0.500 0.863  0.00
P: 0.000 0.000 0.648  0.00
Ir: 0.500 0.000 0.503  0.00

Computed properties:
Space-group type: P4mm (99)
Calculated density (Mg/m³): 8.8
Total magnetization (μB per formula unit): 0.855



# 15
The following is a DFT calculation (PBE) of an optimized crystal structure of ZnSe.

abc: 4.050 4.050 4.050
angles: 60.00 60.00 60.00
Sites, in units of the cell vectors:
Zn: 0.750 0.750 0.750
Se: 0.000 0.000 0.000

Computed properties:
Space-group type: F-43m (216)
Calculated density (Mg/m³): 5.1



# 16
The following is a DFT calculation (PBE) of an optimized crystal structure of Zr2CoTc.

abc: 4.585 6.482 13.760
angles: 90.00 90.00 90.00
Sites, in units of the cell vectors:
Tc: 0.500 0.500 0.500
Tc: 0.500 0.500 0.833
Zr: 0.000 0.250 0.167
Zr: 0.500 0.750 0.000
Co: 0.500 0.000 0.500
Zr: 0.500 0.250 0.333
Zr: 0.500 0.750 0.667
Co: 0.500 0.000 0.833
Tc: 0.000 0.000 0.333
Zr: 0.500 0.250 0.667
Zr: 0.000 0.250 0.833
Co: 0.000 0.500 0.667
Co: 0.000 0.500 0.000
Zr: 0.000 0.750 0.833
Tc: 0.000 0.000 0.667
Zr: 0.000 0.250 0.500
Zr: 0.000 0.750 0.167
Tc: 0.000 0.000 0.000
Zr: 0.500 0.250 0.000
Co: 0.000 0.500 0.333
Zr: 0.500 0.750 0.333
Zr: 0.000 0.750 0.500
Tc: 0.500 0.500 0.167
Co: 0.500 0.000 0.167

Computed properties:
Space-group type: Fm-3m (225)
Calculated density (Mg/m³): 8.3
Total magnetization (μB per formula unit): 0.033



# 17
The following is a DFT calculation (PBE) of an optimized crystal structure of CsAlNiS3.

abc: 7.670 7.670 10.141
angles: 90.00 90.00 152.36
Site moments in Bohr magnetons follow the coordinates.
Sites, in units of the cell vectors:
Al: 0.000 0.000 0.000  0.00
Al: 0.000 0.000 0.500  0.00
S: 0.395 0.605 0.040  0.04
S: 0.605 0.395 0.540  0.04
S: 0.395 0.605 0.460  0.04
S: 0.981 0.019 0.750  0.06
Cs: 0.731 0.269 0.250  0.01
Ni: 0.440 0.560 0.250  0.44
Cs: 0.269 0.731 0.750  0.01
Ni: 0.560 0.440 0.750  0.44
S: 0.605 0.395 0.960  0.04
S: 0.019 0.981 0.250  0.06

Computed properties:
Space-group type: Cmcm (63)
Calculated density (Mg/m³): 3.8
Total magnetization (μB per formula unit): 0.725



# 18
The following is a DFT calculation (PBE) of an optimized crystal structure of TmCo6Hg2.

abc: 7.449 7.449 2.764
angles: 90.00 90.00 120.00
Site moments in Bohr magnetons follow the coordinates.
Sites, in units of the cell vectors:
Co: 0.650 0.000 0.500  1.56
Co: 0.000 0.650 0.500  1.55
Co: 0.350 0.350 0.500  1.58
Hg: 0.667 0.333 0.000  -0.03
Hg: 0.333 0.667 0.000  -0.03
Co: 0.000 0.312 0.000  1.37
Co: 0.312 0.000 0.000  1.43
Tm: 0.000 0.000 0.500  -0.42
Co: 0.688 0.688 0.000  1.46

Computed properties:
Space-group type: P-62m (189)
Calculated density (Mg/m³): 11.6
Total magnetization (μB per formula unit): 8.306



# 19
The following is a DFT calculation (PBE) of an optimized crystal structure of ZrFeRePb.

abc: 4.643 4.643 4.643
angles: 60.00 60.00 60.00
Sites, in units of the cell vectors:
Pb: 0.000 0.000 0.000
Fe: 0.750 0.750 0.750
Re: 0.500 0.500 0.500
Zr: 0.250 0.250 0.250

Computed properties:
Space-group type: F-43m (216)
Calculated density (Mg/m³): 12.7
Total magnetization (μB per formula unit): 3.918



# 20
The following is a DFT calculation (PBE) of an optimized crystal structure of Cs2GaHgBr6.

abc: 7.898 7.898 7.898
angles: 59.98 59.98 59.98
Sites, in units of the cell vectors:
Cs: 0.250 0.250 0.250
Br: 0.755 0.772 0.236
Ga: 0.000 0.000 0.000
Br: 0.772 0.236 0.755
Hg: 0.500 0.500 0.500
Cs: 0.750 0.750 0.750
Br: 0.244 0.228 0.763
Br: 0.228 0.763 0.244
Br: 0.236 0.755 0.772
Br: 0.763 0.244 0.228

Computed properties:
Space-group type: R-3 (148)
Calculated density (Mg/m³): 4.8



| no. | E_tot (eV per atom) |
| --- | --- |
| 1 | -6.4332 |
| 2 | -3.3390 |
| 3 | -6.7483 |
| 4 | -2.5472 |
| 5 | -4.9038 |
| 6 | -3.8062 |
| 7 | -5.8818 |
| 8 | -4.4248 |
| 9 | -3.8269 |
| 10 | -6.3151 |
| 11 | -3.9852 |
| 12 | -5.3748 |
| 13 | -7.6128 |
| 14 | -7.6763 |
| 15 | -3.0926 |
| 16 | -8.9987 |
| 17 | -4.5553 |
| 18 | -4.7801 |
| 19 | -7.6900 |
| 20 | -2.5944 |